VASP calculation (PBE) on a relaxed structure of MgTl3Bi3Se8.

extended XYZ file:
```
15
Lattice="4.213 2.432 7.249 -4.213 2.432 7.249 0.000 -4.865 7.249" Properties=species:S:1:pos:R:3 pbc="T T T"
Mg 0.000 0.000 0.000
Tl -4.213 0.000 10.873
Tl -2.107 1.216 3.624
Tl 2.107 1.216 3.624
Bi -2.107 -1.216 7.249
Bi -2.107 1.216 14.498
Bi 0.000 2.432 7.249
Se 0.000 -2.563 8.835
Se -2.219 1.281 8.835
Se -2.219 -1.281 12.912
Se 0.000 0.000 5.571
Se 0.000 0.000 16.175
Se 2.219 1.281 8.835
Se 2.219 -1.281 12.912
Se 0.000 2.563 12.912
```

Summary:
Electronic total energy, eV/f.u.: -54.94
Energy relative to the elements, uncorrected, eV/atom: -0.45